# 1
VASP calculation (PBE) on Ta2Pd3Se8 after structural relaxation.

Summary:
energy: -5.786 eV/atom
size of the total moment: 0.0 μB/cell

extended XYZ file:
```
26
Lattice="10.778 0.000 0.000 0.000 15.357 0.000 0.000 0.000 3.593" Properties=species:S:1:pos:R:3 pbc="T T T"
Ta 2.311 1.798 0.000
Ta 3.078 9.477 0.000
Ta 7.701 5.880 0.000
Ta 8.467 13.559 0.000
Pd 0.000 0.000 1.797
Pd 1.303 10.998 1.797
Pd 4.086 3.320 1.797
Pd 5.389 7.679 1.797
Pd 6.692 12.037 1.797
Pd 9.475 4.359 1.797
Se 0.482 2.408 1.797
Se 0.499 9.465 0.000
Se 2.482 15.241 1.797
Se 2.685 4.337 0.000
Se 2.704 12.016 0.000
Se 2.907 7.562 1.797
Se 4.890 1.787 0.000
Se 4.907 10.086 1.797
Se 5.871 5.271 1.797
Se 5.888 13.570 0.000
Se 7.871 7.795 1.797
Se 8.074 3.342 0.000
Se 8.093 11.020 0.000
Se 8.296 0.116 1.797
Se 10.279 5.892 0.000
Se 10.296 12.949 1.797
```

=====

# 2
VASP calculation (PBE) on Tm2Ta4PdSe12 after structural relaxation.

Summary:
energy: -6.321 eV/atom
size of the total moment: 0.0 μB/cell

extended XYZ file:
```
19
Lattice="7.640 -1.820 0.000 7.640 1.820 0.000 -7.053 0.000 18.358" Properties=species:S:1:pos:R:3 pbc="T T T"
Tm -1.844 0.000 5.239
Tm 10.072 0.000 13.119
Ta 0.966 0.000 10.301
Ta 6.552 0.000 2.422
Ta 1.676 0.000 15.936
Ta 7.263 0.000 8.057
Pd 0.000 0.000 0.000
Se -2.302 0.000 7.864
Se 0.777 0.000 2.349
Se -4.785 0.000 17.396
Se 1.484 0.000 7.801
Se 0.400 0.000 13.227
Se 4.354 0.000 3.748
Se 3.874 0.000 14.610
Se 7.828 0.000 5.131
Se 6.744 0.000 10.557
Se 13.013 0.000 0.962
Se 7.451 0.000 16.009
Se 10.530 0.000 10.493
```

=====

# 3
VASP calculation (PBE) on Tc2PdSe4 after structural relaxation.

Summary:
energy: -5.848 eV/atom
size of the total moment: 6.4 μB/cell

extended XYZ file:
```
14
Lattice="0.000 5.272 5.272 5.272 0.000 5.272 5.272 5.272 0.000" Properties=species:S:1:pos:R:3 pbc="T T T"
Tc 0.000 0.000 0.000
Tc 2.636 2.636 0.000
Tc 2.636 0.000 2.636
Tc 0.000 2.636 2.636
Pd 3.954 3.954 3.954
Pd 6.591 6.591 6.591
Se 7.997 5.184 5.184
Se 2.548 2.548 2.548
Se 5.361 5.361 2.548
Se 5.361 2.548 5.361
Se 5.184 7.997 5.184
Se 5.184 5.184 7.997
Se 7.997 7.997 7.997
Se 2.548 5.361 5.361
```

=====

# 4
VASP calculation (PBE) on TePdSe after structural relaxation.

Summary:
energy: -4.222 eV/atom

extended XYZ file:
```
12
Lattice="6.479 0.000 0.000 0.000 6.479 0.000 0.000 0.000 6.479" Properties=species:S:1:pos:R:3 pbc="T T T"
Te 0.782 0.782 0.782
Te 2.458 5.698 4.021
Te 4.021 2.458 5.698
Te 5.698 4.021 2.458
Pd 0.037 3.277 6.442
Pd 3.203 3.203 3.203
Pd 3.277 6.442 0.037
Pd 6.442 0.037 3.277
Se 0.756 2.484 3.996
Se 2.484 3.996 0.756
Se 3.996 0.756 2.484
Se 5.723 5.723 5.723
```

=====

# 5
VASP calculation (PBE) on TePdSe4 after structural relaxation.

Summary:
energy: -3.802 eV/atom

extended XYZ file:
```
6
Lattice="3.851 0.000 0.000 -1.670 6.221 0.000 -0.016 -1.008 6.502" Properties=species:S:1:pos:R:3 pbc="T T T"
Te 0.000 0.000 0.000
Pd 1.917 -0.504 3.251
Se -0.008 1.059 2.605
Se 0.255 4.453 1.030
Se 1.909 0.761 5.472
Se 2.172 4.154 3.898
```

=====

# 6
VASP calculation (PBE) on ZrTlTePdSe2 after structural relaxation.

Summary:
size of the total moment: 0.0 μB/cell
ΔE to the lowest computed polymorph: 0.00 eV/f.u.

extended XYZ file:
```
12
Lattice="8.505 0.000 0.000 0.000 3.822 0.000 -3.866 0.000 9.699" Properties=species:S:1:pos:R:3 pbc="T T T"
Zr 1.039 0.955 1.567
Zr 3.600 2.866 8.132
Tl -0.697 2.866 7.227
Tl 5.335 0.955 2.472
Te 0.250 0.955 4.395
Te 4.389 2.866 5.304
Pd 1.997 2.866 3.736
Pd 2.641 0.955 5.963
Se -2.943 0.955 8.491
Se 2.930 2.866 1.339
Se 1.708 0.955 8.360
Se 7.582 2.866 1.208
```

=====

# 7
VASP calculation (PBE) on ZrTlTePdSe2 after structural relaxation.

Summary:
size of the total moment: 0.0 μB/cell
ΔE to the lowest computed polymorph: 0.48 eV/f.u.

extended XYZ file:
```
12
Lattice="8.312 0.000 0.000 0.000 3.904 0.000 -3.682 0.000 9.844" Properties=species:S:1:pos:R:3 pbc="T T T"
Zr 1.223 0.976 1.808
Zr 3.407 2.928 8.036
Tl -0.643 2.928 6.807
Tl 5.273 0.976 3.037
Te -2.702 0.976 8.632
Te 7.332 2.928 1.212
Pd 2.022 2.928 3.893
Pd 2.608 0.976 5.951
Se 0.430 0.976 4.322
Se 3.020 2.928 1.502
Se 1.610 0.976 8.342
Se 4.200 2.928 5.522
```

=====

# 8
VASP calculation (PBE) on ZrTlTePdSe2 after structural relaxation.

Summary:
size of the total moment: 0.0 μB/cell
ΔE to the lowest computed polymorph: 0.40 eV/f.u.

extended XYZ file:
```
12
Lattice="8.493 0.000 0.000 0.000 3.918 0.000 -3.769 0.000 9.440" Properties=species:S:1:pos:R:3 pbc="T T T"
Zr 0.991 0.979 1.589
Zr 3.733 2.938 7.851
Tl -0.793 2.938 6.650
Tl 5.517 0.979 2.790
Te 3.138 2.938 1.300
Te 1.586 0.979 8.140
Pd 1.941 2.938 3.758
Pd 2.783 0.979 5.682
Se -2.868 0.979 8.232
Se 0.408 0.979 4.187
Se 4.316 2.938 5.253
Se 7.592 2.938 1.207
```

=====

# 9
VASP calculation (PBE) on Tl2Pd3Se4 after structural relaxation.

Summary:
energy: -4.179 eV/atom

extended XYZ file:
```
9
Lattice="0.000 5.633 6.300 3.182 0.000 6.300 3.182 5.633 0.000" Properties=species:S:1:pos:R:3 pbc="T T T"
Tl 3.182 5.633 1.744
Tl 3.182 5.633 10.856
Pd 1.591 2.816 0.000
Pd 1.591 2.816 6.300
Pd 3.182 5.633 6.300
Se 3.182 3.779 4.641
Se 3.182 3.779 7.959
Se 3.182 7.486 4.641
Se 3.182 7.486 7.959
```

=====

# 10
VASP calculation (PBE) on ZrTlPdSe3 after structural relaxation.

Summary:
energy: -5.275 eV/atom
size of the total moment: 0.0 μB/cell

extended XYZ file:
```
24
Lattice="14.994 0.000 0.000 0.000 3.846 0.000 0.000 0.000 10.484" Properties=species:S:1:pos:R:3 pbc="T T T"
Zr 0.262 0.962 1.850
Zr 7.235 2.885 7.092
Zr 7.759 0.962 3.392
Zr 14.732 2.885 8.634
Tl 3.561 0.962 4.747
Tl 3.936 2.885 9.989
Tl 11.058 0.962 0.495
Tl 11.434 2.885 5.737
Pd 0.108 2.885 4.182
Pd 7.389 0.962 9.424
Pd 7.605 2.885 1.060
Pd 14.886 0.962 6.302
Se 1.366 0.962 9.780
Se 1.474 2.885 6.573
Se 2.070 2.885 2.482
Se 5.427 0.962 7.724
Se 6.023 0.962 1.332
Se 6.132 2.885 4.538
Se 8.863 0.962 5.946
Se 8.971 2.885 9.152
Se 9.567 2.885 2.760
Se 12.924 0.962 8.002
Se 13.521 0.962 3.910
Se 13.629 2.885 0.704
```

=====

# 11
VASP calculation (PBE) on ZrTlPdSe3 after structural relaxation.

Summary:
energy: -5.273 eV/atom
size of the total moment: 0.0 μB/cell

extended XYZ file:
```
12
Lattice="8.308 0.000 0.000 0.000 3.855 0.000 -3.762 0.000 9.548" Properties=species:S:1:pos:R:3 pbc="T T T"
Zr 1.077 0.964 1.588
Zr 3.469 2.891 7.961
Tl -0.800 2.891 6.811
Tl 5.345 0.964 2.738
Pd 1.918 2.891 3.765
Pd 2.628 0.964 5.783
Se -2.864 0.964 8.345
Se 0.361 0.964 4.187
Se 2.955 2.891 1.382
Se 1.591 0.964 8.166
Se 4.184 2.891 5.361
Se 7.409 2.891 1.203
```

=====

# 12
VASP calculation (PBE) on Tm7Pd2Se2 after structural relaxation.

Summary:
energy: -5.400 eV/atom
size of the total moment: 0.0 μB/cell

extended XYZ file:
```
11
Lattice="-1.918 7.526 4.650 1.918 -7.526 4.650 1.918 7.526 -4.650" Properties=species:S:1:pos:R:3 pbc="T T T"
Tm 0.000 0.000 0.000
Tm 1.918 5.688 -0.852
Tm 1.918 2.738 1.100
Tm 0.000 1.838 3.798
Tm 0.000 5.474 2.354
Tm 0.000 9.577 2.354
Tm 0.000 4.788 5.751
Pd 1.918 -3.934 3.896
Pd 1.918 3.934 3.896
Se 1.918 0.000 2.383
Se 0.000 0.000 6.091
```

=====

# 13
VASP calculation (PBE) on Y7Pd2Se2 after structural relaxation.

Summary:
energy: -6.668 eV/atom
size of the total moment: 0.0 μB/cell

extended XYZ file:
```
11
Lattice="-1.949 7.674 4.717 1.949 -7.674 4.717 1.949 7.674 -4.717" Properties=species:S:1:pos:R:3 pbc="T T T"
Y 0.000 0.000 0.000
Y 1.949 5.833 -0.887
Y 1.949 2.789 1.085
Y 0.000 1.841 3.830
Y 0.000 5.603 2.355
Y 0.000 9.745 2.355
Y 0.000 4.885 5.802
Pd 1.949 -4.004 3.922
Pd 1.949 4.004 3.922
Se 1.949 0.000 2.385
Se 0.000 0.000 6.183
```

=====

# 14
VASP calculation (PBE) on Zn2Pd8Se after structural relaxation.

Summary:
energy: -4.628 eV/atom

extended XYZ file:
```
11
Lattice="3.962 0.000 0.000 0.000 3.962 0.000 0.000 0.000 11.047" Properties=species:S:1:pos:R:3 pbc="T T T"
Zn 0.000 0.000 1.928
Zn 0.000 0.000 9.119
Pd 0.000 1.981 0.000
Pd 0.000 1.981 3.896
Pd 0.000 1.981 7.151
Pd 1.981 0.000 0.000
Pd 1.981 0.000 3.896
Pd 1.981 0.000 7.151
Pd 1.981 1.981 1.954
Pd 1.981 1.981 9.092
Se 1.981 1.981 5.523
```

=====

# 15
VASP calculation (PBE) on Si64Pd after structural relaxation.

Summary:
ΔE to the lowest computed polymorph: 0.18 eV/f.u.

extended XYZ file:
```
65
Lattice="7.758 4.479 6.325 -7.758 4.479 6.325 0.000 -8.958 6.325" Properties=species:S:1:pos:R:3 pbc="T T T"
Si 0.000 -2.272 2.768
Si -1.968 1.136 2.768
Si -3.873 -4.486 9.075
Si -5.821 -1.112 9.075
Si -1.941 -3.354 5.942
Si -3.875 -0.004 5.942
Si 0.000 -6.580 5.919
Si -5.698 3.290 5.919
Si 0.000 0.000 3.494
Si -3.875 -2.237 9.833
Si -1.928 -1.113 6.703
Si -1.948 -5.597 9.901
Si -5.821 1.112 9.901
Si 0.000 -4.419 6.784
Si -3.827 2.209 6.784
Si -5.698 -3.290 13.057
Si 0.000 0.000 5.878
Si 1.941 -3.354 5.942
Si -1.928 -1.113 9.075
Si -1.934 3.358 5.942
Si -3.827 -2.209 12.193
Si 1.968 1.136 2.768
Si 0.000 -4.474 9.143
Si -3.875 2.237 9.143
Si 1.928 -1.113 6.703
Si 0.000 2.226 6.703
Si -1.934 -3.358 13.034
Si -3.875 0.004 13.034
Si 1.948 -5.597 9.901
Si 0.000 -2.227 9.901
Si -1.928 1.113 9.901
Si -3.873 4.486 9.901
Si 3.873 -4.486 9.075
Si 1.928 -1.113 9.075
Si 0.000 2.227 9.075
Si -1.948 5.597 9.075
Si 3.875 -0.004 5.942
Si 1.934 3.358 5.942
Si 0.000 -2.226 12.273
Si -1.928 1.113 12.273
Si 3.875 -2.237 9.833
Si 0.000 4.474 9.833
Si -1.968 -1.136 16.209
Si 3.827 2.209 6.784
Si 1.934 -3.358 13.034
Si 1.928 1.113 9.901
Si -1.941 3.354 13.034
Si 0.000 0.000 13.098
Si 5.698 3.290 5.919
Si 3.827 -2.209 12.193
Si 0.000 4.419 12.193
Si 5.821 -1.112 9.075
Si 1.948 5.597 9.075
Si 1.928 1.113 12.273
Si 3.875 2.237 9.143
Si 0.000 0.000 15.482
Si 5.698 -3.290 13.057
Si 0.000 6.580 13.057
Si 3.875 0.004 13.034
Si 1.941 3.354 13.034
Si 5.821 1.112 9.901
Si 3.873 4.486 9.901
Si 1.968 -1.136 16.209
Si 0.000 2.272 16.209
Pd 0.000 0.000 0.000
```

=====

# 16
VASP calculation (PBE) on SiPd4 after structural relaxation.

Summary:
ΔE to the lowest computed polymorph: 0.26 eV/f.u.

extended XYZ file:
```
20
Lattice="4.427 0.000 0.000 -0.035 7.680 0.000 -0.808 -3.248 8.737" Properties=species:S:1:pos:R:3 pbc="T T T"
Si 0.497 1.483 3.079
Si 1.015 4.377 1.716
Si 2.570 0.055 7.021
Si 3.087 2.950 5.658
Pd 0.448 4.107 4.041
Pd 0.321 4.038 6.924
Pd 0.250 1.057 8.032
Pd 0.489 -1.034 6.342
Pd 0.987 6.634 0.841
Pd 1.120 1.784 0.798
Pd 0.935 -0.821 3.565
Pd 0.969 1.751 5.482
Pd 2.616 2.681 3.255
Pd 2.650 5.254 5.172
Pd 2.465 2.648 7.939
Pd 2.598 -2.202 7.896
Pd 3.095 5.466 2.395
Pd 3.334 3.375 0.706
Pd 3.263 0.395 1.814
Pd 3.136 0.326 4.696
```